No. 1
! PBE LiYGaPd, relaxed; values from VASP
&SYSTEM
  ibrav = 0, nat = 4, ntyp = 4
/
ATOMIC_SPECIES
Ga 69.72 Ga.upf
Li 6.94 Li.upf
Pd 106.42 Pd.upf
Y 88.91 Y.upf
ATOMIC_POSITIONS crystal
Ga 0.0000 0.0000 0.0000
Li 0.7500 0.7500 0.7500
Pd 0.2500 0.2500 0.2500
Y 0.5000 0.5000 0.5000
CELL_PARAMETERS angstrom
-0.3370 -4.5439 -1.0203
-2.7791 -2.7629 2.5386
-3.9371 -1.6903 -1.8558
! distance to the lowest polymorph of the same formula: 0.000 eV per atom
! space-group type: F-43m (216)

=====

No. 2
! PBE LuAlIr, relaxed; values from VASP
&SYSTEM
  ibrav = 0, nat = 3, ntyp = 3
/
ATOMIC_SPECIES
Al 26.98 Al.upf
Ir 192.22 Ir.upf
Lu 174.97 Lu.upf
ATOMIC_POSITIONS crystal
Al 0.2500 0.2500 0.2500
Ir 0.7500 0.7500 0.7500
Lu 0.0000 0.0000 0.0000
CELL_PARAMETERS angstrom
0.0000 3.2188 3.2188
3.2188 0.0000 3.2188
3.2188 3.2188 0.0000
! total DFT energy (no corrections): -16.7 eV per cell
! space-group type: F-43m (216)

=====

No. 3
! PBE AlAsIrAu, relaxed; values from VASP
&SYSTEM
  ibrav = 0, nat = 4, ntyp = 4
/
ATOMIC_SPECIES
Al 26.98 Al.upf
As 74.92 As.upf
Au 196.97 Au.upf
Ir 192.22 Ir.upf
ATOMIC_POSITIONS crystal
Al 0.0000 0.0000 0.0000
As 0.2500 0.2500 0.2500
Au 0.7500 0.7500 0.7500
Ir 0.5000 0.5000 0.5000
CELL_PARAMETERS angstrom
1.5345 -3.6932 -2.1412
0.9112 -3.7708 2.3516
-2.6678 -3.6434 -0.4331
! distance to the lowest polymorph of the same formula: 0.160 eV per atom
! space-group type: F-43m (216)

=====

No. 4
! PBE PrCdAsO, relaxed; values from VASP
&SYSTEM
  ibrav = 0, nat = 8, ntyp = 4
/
ATOMIC_SPECIES
As 74.92 As.upf
Cd 112.41 Cd.upf
O 16.00 O.upf
Pr 140.91 Pr.upf
ATOMIC_POSITIONS crystal
As 0.0000 0.2778 0.4073
As 0.0000 0.7222 0.9073
Cd 0.5000 0.8568 0.0276
Cd 0.5000 0.1432 0.5276
O 0.5000 0.8130 0.3991
O 0.5000 0.1870 0.8991
Pr 0.0000 0.7377 0.4200
Pr 0.0000 0.2623 0.9200
CELL_PARAMETERS angstrom
-1.3674 0.2905 4.3943
3.8867 -5.0072 1.5405
4.6709 3.9916 1.1895
! total DFT energy (no corrections): -42.1 eV per cell
! space-group type: Pmc2_1 (26)

=====

No. 5
! PBE InTcAuS3, relaxed; values from VASP
&SYSTEM
  ibrav = 0, nat = 12, ntyp = 4
/
ATOMIC_SPECIES
Au 196.97 Au.upf
In 114.82 In.upf
S 32.06 S.upf
Tc 98.00 Tc.upf
ATOMIC_POSITIONS crystal
Au 0.3173 0.3173 0.2500
Au 0.6827 0.6827 0.7500
In 0.6710 0.6710 0.2500
In 0.3290 0.3290 0.7500
S 0.3872 0.3872 0.0217
S 0.0346 0.0346 0.2500
S 0.3872 0.3872 0.4783
S 0.6128 0.6128 0.5217
S 0.9654 0.9654 0.7500
S 0.6128 0.6128 0.9783
Tc 0.0000 0.0000 0.0000
Tc 0.0000 0.0000 0.5000
CELL_PARAMETERS angstrom
7.7712 -1.6539 0.0000
7.7712 1.6539 0.0000
0.0000 0.0000 9.4014
! total DFT energy (no corrections): -60.7 eV per cell
! space-group type: Cmcm (63)

=====

No. 6
! PBE Co2ReGe, relaxed; values from VASP
&SYSTEM
  ibrav = 0, nat = 4, ntyp = 3
/
ATOMIC_SPECIES
Co 58.93 Co.upf
Ge 72.64 Ge.upf
Re 186.21 Re.upf
ATOMIC_POSITIONS crystal
Co 0.0000 0.0000 0.0000
Co 0.7500 0.7500 0.7500
Ge 0.5000 0.5000 0.5000
Re 0.2500 0.2500 0.2500
CELL_PARAMETERS angstrom
0.0000 2.9160 2.9160
2.9160 0.0000 2.9160
2.9160 2.9160 0.0000
! total DFT energy (no corrections): -30.7 eV per cell
! space-group type: F-43m (216)

=====

No. 7
! PBE Cu3Cl4, relaxed; values from VASP
&SYSTEM
  ibrav = 0, nat = 7, ntyp = 2
/
ATOMIC_SPECIES
Cl 35.45 Cl.upf
Cu 63.55 Cu.upf
ATOMIC_POSITIONS crystal
Cl 0.7510 0.2490 0.2490
Cl 0.2490 0.7510 0.2490
Cl 0.2490 0.2490 0.7510
Cl 0.7510 0.7510 0.7510
Cu 0.5000 0.0000 0.0000
Cu 0.0000 0.5000 0.0000
Cu 0.0000 0.0000 0.5000
CELL_PARAMETERS angstrom
-1.1738 -1.5071 4.9642
-2.6253 -4.2173 -1.9012
4.4747 -2.8697 0.1868
! distance to the lowest polymorph of the same formula: 0.002 eV per atom
! space-group type: P-43m (215)

=====

No. 8
! PBE YEr2Tm3As2Os, relaxed; values from VASP
&SYSTEM
  ibrav = 0, nat = 9, ntyp = 5
/
ATOMIC_SPECIES
As 74.92 As.upf
Er 167.26 Er.upf
Os 190.23 Os.upf
Tm 168.93 Tm.upf
Y 88.91 Y.upf
ATOMIC_POSITIONS crystal
As 0.5000 0.6665 0.3319
As 0.5000 0.3319 0.6665
Er 0.0000 0.9982 0.4010
Er 0.0000 0.4010 0.9982
Os 0.0000 0.0062 0.0062
Tm 0.5000 0.2463 0.2463
Tm 0.5000 0.9995 0.7561
Tm 0.5000 0.7561 0.9995
Y 0.0000 0.5944 0.5944
CELL_PARAMETERS angstrom
4.1424 0.0000 0.0000
0.0000 6.7272 3.9083
0.0000 -6.7272 3.9083
! total DFT energy (no corrections): -56.5 eV per cell
! space-group type: Amm2 (38)

=====

no.,V (Å³ per atom),calculated density (g cm⁻³)
1,18.00,6.27
2,22.23,9.81
3,16.50,12.35
4,23.53,6.07
5,20.14,6.95
6,12.40,12.61
7,21.50,3.67
8,24.20,9.68